Here is crystalline AlNiPb at its relaxed geometry from Alexandria. Energies are from PBE.

Lattice parameters (Å, degrees): 4.330 4.330 4.330 60.00 60.00 60.00
Sites, in units of the cell vectors:
Ni: 0.750 0.750 0.750
Al: 0.500 0.500 0.500
Pb: 0.000 0.000 0.000

Values from the calculation:
DFT total energy = -0.164 Ha/atom
ΔH_f (0 K) = -0.045 eV per atom
Fermi-level density of states = 1.6 states/eV per cell
Space group = F-43m

Here is crystalline Ga2SiHg at its relaxed geometry from Alexandria. Energies are from PBE.

Lattice parameters (Å, degrees): 6.415 6.415 6.690 61.35 61.35 90.00
Sites, in units of the cell vectors:
Ga: 0.375 0.418 0.750
Ga: 0.582 0.125 0.250
Ga: 0.168 0.625 0.250
Ga: 0.875 0.832 0.750
Hg: 0.000 0.000 0.000
Hg: 0.750 0.250 0.500
Si: 0.250 0.750 0.500
Si: 0.500 0.500 0.000

Values from the calculation:
DFT total energy = -0.099 Ha/atom
Raw formation energy = 5.929 kcal/mol of atoms
Fermi-level density of states = 1.5 states/eV per cell
Space group = I-42d

Here is crystalline MgAsN3 at its relaxed geometry from Alexandria. Energies are from PBE.

Lattice parameters (Å, degrees): 3.743 3.743 3.743 90.00 90.00 90.00
Sites, in units of the cell vectors:
As: 0.000 0.000 0.000
Mg: 0.500 0.500 0.500
N: 0.500 0.000 0.000
N: 0.000 0.000 0.500
N: 0.000 0.500 0.000

Values from the calculation:
DFT total energy = -0.192 Ha/atom
Raw formation energy = 23.549 kcal/mol of atoms
Fermi-level density of states = 2.9 states/eV per cell
Space group = Pm-3m

Here is crystalline ZrMoAu2 at its relaxed geometry from Alexandria. Energies are from PBE.

Lattice parameters (Å, degrees): 5.190 5.190 5.190 133.03 133.03 68.60
Site moments in Bohr magnetons follow the coordinates.
Sites, in units of the cell vectors:
Au: 0.250 0.750 0.500  0.04
Au: 0.000 0.000 0.000  0.05
Zr: 0.750 0.250 0.500  0.16
Mo: 0.500 0.500 0.000  1.25

Values from the calculation:
DFT total energy = -0.239 Ha/atom
ΔH_f (0 K) = -0.030 eV per atom
Fermi-level density of states = 3.1 states/eV per cell
Space group = I-4m2